BaYWO2: optimized geometry, PBE with a Hubbard U. Values from VASP.

```
&SYSTEM
  ibrav = 0, nat = 5, ntyp = 4
/
ATOMIC_SPECIES
Ba 137.33 Ba.upf
Y 88.91 Y.upf
W 183.84 W.upf
O 16.00 O.upf
ATOMIC_POSITIONS crystal
Ba 0.000 0.000 0.000
Y 0.000 0.000 0.500
W 0.500 0.500 0.000
O 0.000 0.500 0.500
O 0.500 0.000 0.500
CELL_PARAMETERS angstrom
4.480 0.000 0.000
0.000 4.480 0.000
0.000 0.000 7.966
```

- VASP energy: -5.363 eV/atom
- Space-group type: P4/mmm (123)